First-principles (PBE-GGA) data for TmMgRu after structural relaxation, as listed in Alexandria.

a = 7.585 Å, b = 7.585 Å, c = 4.726 Å
α = 90.00°, β = 90.00°, γ = 154.13°
Positions (direct):
Tm (0.077, 0.923, 0.750)
Tm (0.923, 0.077, 0.250)
Mg (0.228, 0.772, 0.250)
Mg (0.772, 0.228, 0.750)
Ru (0.417, 0.583, 0.750)
Ru (0.583, 0.417, 0.250)

Calculated values
N(E_F) = 3.065 states/eV/cell
energy of formation = -0.288 eV per atom